{
  "formula": "AcPr12Dy2",
  "functional": "PBE",
  "state": "relaxed",
  "energy_ha_per_atom": -0.167,
  "formation_enthalpy_0k_mev_per_atom": 154,
  "sg": "Cmme",
  "cell": [[3.6388, -5.9119, 0.0000], [3.6388, 5.9119, 0.0000], [0.0000, 0.0000, 25.5352]],
  "species": ["Ac", "Ac", "Pr", "Pr", "Pr", "Pr", "Pr", "Pr", "Pr", "Pr", "Pr", "Pr", "Pr", "Pr", "Pr", "Pr", "Pr", "Pr", "Pr", "Pr", "Pr", "Pr", "Pr", "Pr", "Pr", "Pr", "Dy", "Dy", "Dy", "Dy"],
  "frac_coords": [[0.2500, 0.7500, 0.9864], [0.7500, 0.2500, 0.0136], [0.0108, 0.5108, 0.8597], [0.0202, 0.5202, 0.4166], [0.0233, 0.9767, 0.0785], [0.0250, 0.9750, 0.5595], [0.2500, 0.2500, 0.2023], [0.2500, 0.2500, 0.3269], [0.2500, 0.2500, 0.6731], [0.2500, 0.2500, 0.7977], [0.4750, 0.5250, 0.5595], [0.4767, 0.5233, 0.0785], [0.4798, 0.9798, 0.4166], [0.4892, 0.9892, 0.8597], [0.5108, 0.0108, 0.1403], [0.5202, 0.0202, 0.5834], [0.5233, 0.4767, 0.9215], [0.5250, 0.4750, 0.4405], [0.7500, 0.7500, 0.2023], [0.7500, 0.7500, 0.3269], [0.7500, 0.7500, 0.6731], [0.7500, 0.7500, 0.7977], [0.9750, 0.0250, 0.4405], [0.9767, 0.0233, 0.9215], [0.9798, 0.4798, 0.5834], [0.9892, 0.4892, 0.1403], [0.2500, 0.7500, 0.2707], [0.2500, 0.7500, 0.7247], [0.7500, 0.2500, 0.2753], [0.7500, 0.2500, 0.7293]]
}